# 1
Zn5In12Au3 | PBE | relaxed Values from VASP.

## Properties
M_tot in μB/f.u.: 0.0
Electronic total energy in eV/atom: -2.37
Crystal system: cubic
Energy of formation from the pure elements in eV per formula unit: 1.75

```
&SYSTEM
  ibrav = 0, nat = 80, ntyp = 3
/
ATOMIC_SPECIES
Zn 65.41 Zn.upf
In 114.82 In.upf
Au 196.97 Au.upf
ATOMIC_POSITIONS crystal
Zn 0.000 0.000 0.000
Zn 0.000 0.000 0.500
Zn 0.000 0.500 0.000
Zn 0.000 0.500 0.500
Zn 0.125 0.750 0.875
Zn 0.125 0.875 0.250
Zn 0.250 0.125 0.875
Zn 0.250 0.625 0.375
Zn 0.375 0.250 0.625
Zn 0.375 0.625 0.750
Zn 0.500 0.000 0.000
Zn 0.500 0.000 0.500
Zn 0.500 0.500 0.000
Zn 0.500 0.500 0.500
Zn 0.625 0.375 0.250
Zn 0.625 0.750 0.375
Zn 0.750 0.375 0.625
Zn 0.750 0.875 0.125
Zn 0.875 0.125 0.750
Zn 0.875 0.250 0.125
In 0.059 0.228 0.133
In 0.059 0.331 0.925
In 0.075 0.633 0.406
In 0.075 0.941 0.669
In 0.094 0.728 0.669
In 0.094 0.867 0.425
In 0.133 0.059 0.228
In 0.133 0.575 0.906
In 0.169 0.228 0.594
In 0.169 0.441 0.575
In 0.228 0.133 0.059
In 0.228 0.594 0.169
In 0.272 0.331 0.906
In 0.272 0.441 0.367
In 0.331 0.906 0.272
In 0.331 0.925 0.059
In 0.367 0.272 0.441
In 0.367 0.594 0.925
In 0.406 0.075 0.633
In 0.406 0.831 0.772
In 0.425 0.094 0.867
In 0.425 0.831 0.559
In 0.441 0.367 0.272
In 0.441 0.575 0.169
In 0.559 0.425 0.831
In 0.559 0.633 0.728
In 0.575 0.169 0.441
In 0.575 0.906 0.133
In 0.594 0.169 0.228
In 0.594 0.925 0.367
In 0.633 0.406 0.075
In 0.633 0.728 0.559
In 0.669 0.075 0.941
In 0.669 0.094 0.728
In 0.728 0.559 0.633
In 0.728 0.669 0.094
In 0.772 0.406 0.831
In 0.772 0.867 0.941
In 0.831 0.559 0.425
In 0.831 0.772 0.406
In 0.867 0.425 0.094
In 0.867 0.941 0.772
In 0.906 0.133 0.575
In 0.906 0.272 0.331
In 0.925 0.059 0.331
In 0.925 0.367 0.594
In 0.941 0.669 0.075
In 0.941 0.772 0.867
Au 0.125 0.250 0.375
Au 0.125 0.375 0.750
Au 0.250 0.375 0.125
Au 0.250 0.875 0.625
Au 0.375 0.125 0.250
Au 0.375 0.750 0.125
Au 0.625 0.250 0.875
Au 0.625 0.875 0.750
Au 0.750 0.125 0.375
Au 0.750 0.625 0.875
Au 0.875 0.625 0.250
Au 0.875 0.750 0.625
CELL_PARAMETERS angstrom
-8.109 8.109 8.109
8.109 -8.109 8.109
8.109 8.109 -8.109
```

***

# 2
ZnIn2Au2 | PBE | relaxed Values from VASP.

## Properties
M_tot in μB/f.u.: 0.0
Electronic total energy in eV/atom: -2.57
Crystal system: tetragonal
E above lowest polymorph in meV/atom: 264
Energy of formation from the pure elements in eV per formula unit: 0.47

```
&SYSTEM
  ibrav = 0, nat = 5, ntyp = 3
/
ATOMIC_SPECIES
Zn 65.41 Zn.upf
In 114.82 In.upf
Au 196.97 Au.upf
ATOMIC_POSITIONS crystal
Zn 0.000 0.000 0.000
In 0.250 0.750 0.500
In 0.750 0.250 0.500
Au 0.394 0.394 0.000
Au 0.606 0.606 0.000
CELL_PARAMETERS angstrom
-2.185 2.185 6.285
2.185 -2.185 6.285
2.185 2.185 -6.285
```

***

# 3
ZnIn2Au2 | PBE | relaxed Values from VASP.

## Properties
M_tot in μB/f.u.: 0.0
Electronic total energy in eV/atom: -2.62
Crystal system: tetragonal
E above lowest polymorph in meV/atom: 211
Energy of formation from the pure elements in eV per formula unit: 0.20

```
&SYSTEM
  ibrav = 0, nat = 5, ntyp = 3
/
ATOMIC_SPECIES
Zn 65.41 Zn.upf
In 114.82 In.upf
Au 196.97 Au.upf
ATOMIC_POSITIONS crystal
Zn 0.000 0.000 0.000
In 0.399 0.399 0.000
In 0.601 0.601 0.000
Au 0.250 0.750 0.500
Au 0.750 0.250 0.500
CELL_PARAMETERS angstrom
-1.971 1.971 7.275
1.971 -1.971 7.275
1.971 1.971 -7.275
```

***

# 4
Zn2In2Au5 | PBE | relaxed Values from VASP.

## Properties
M_tot in μB/f.u.: 0.0
Electronic total energy in eV/atom: -2.79
Crystal system: orthorhombic
E above lowest polymorph in meV/atom: 50
Energy of formation from the pure elements in eV per formula unit: -0.67

```
&SYSTEM
  ibrav = 0, nat = 18, ntyp = 3
/
ATOMIC_SPECIES
Zn 65.41 Zn.upf
In 114.82 In.upf
Au 196.97 Au.upf
ATOMIC_POSITIONS crystal
Zn 0.037 0.087 0.124
Zn 0.037 0.413 0.450
Zn 0.963 0.587 0.550
Zn 0.963 0.913 0.876
In 0.367 0.752 0.115
In 0.533 0.033 0.500
In 0.533 0.533 0.000
In 0.637 0.252 0.885
Au 0.013 0.347 0.850
Au 0.013 0.663 0.166
Au 0.161 0.171 0.700
Au 0.161 0.961 0.490
Au 0.471 0.461 0.300
Au 0.471 0.671 0.510
Au 0.498 0.163 0.150
Au 0.498 0.847 0.834
Au 0.838 0.595 0.743
Au 0.852 0.095 0.257
CELL_PARAMETERS angstrom
-7.296 3.414 3.784
7.296 -3.414 3.784
7.296 3.414 -3.784
```

***

# 5
Zn3InAu | PBE | relaxed Values from VASP.

## Properties
M_tot in μB/f.u.: 0.0
Electronic total energy in eV/atom: -1.84
Crystal system: cubic
E above lowest polymorph in meV/atom: 93
Energy of formation from the pure elements in eV per formula unit: 0.63

```
&SYSTEM
  ibrav = 0, nat = 5, ntyp = 3
/
ATOMIC_SPECIES
Zn 65.41 Zn.upf
In 114.82 In.upf
Au 196.97 Au.upf
ATOMIC_POSITIONS crystal
Zn 0.000 0.000 0.500
Zn 0.000 0.500 0.000
Zn 0.500 0.000 0.000
In 0.500 0.500 0.500
Au 0.000 0.000 0.000
CELL_PARAMETERS angstrom
4.951 0.000 0.000
0.000 4.951 0.000
0.000 0.000 4.951
```

***

# 6
ZnIn2Au | PBE | relaxed Values from VASP.

## Properties
M_tot in μB/f.u.: 0.0
Electronic total energy in eV/atom: -2.47
Crystal system: tetragonal
Energy of formation from the pure elements in eV per formula unit: 0.16

```
&SYSTEM
  ibrav = 0, nat = 8, ntyp = 3
/
ATOMIC_SPECIES
Zn 65.41 Zn.upf
In 114.82 In.upf
Au 196.97 Au.upf
ATOMIC_POSITIONS crystal
Zn 0.000 0.000 0.000
Zn 0.750 0.250 0.500
In 0.132 0.625 0.007
In 0.375 0.382 0.507
In 0.618 0.125 0.993
In 0.875 0.868 0.493
Au 0.250 0.750 0.500
Au 0.500 0.500 0.000
CELL_PARAMETERS angstrom
-3.964 3.964 2.956
3.964 -3.964 2.956
3.964 3.964 -2.956
```

***

# 7
Zn2InAu5 | PBE | relaxed Values from VASP.

## Properties
M_tot in μB/f.u.: 0.0
Electronic total energy in eV/atom: -2.85
Crystal system: orthorhombic
Energy of formation from the pure elements in eV per formula unit: -1.16

```
&SYSTEM
  ibrav = 0, nat = 16, ntyp = 3
/
ATOMIC_SPECIES
Zn 65.41 Zn.upf
In 114.82 In.upf
Au 196.97 Au.upf
ATOMIC_POSITIONS crystal
Zn 0.000 0.000 0.245
Zn 0.000 0.000 0.755
Zn 0.261 0.739 0.000
Zn 0.739 0.261 0.000
In 0.289 0.711 0.500
In 0.711 0.289 0.500
Au 0.000 0.500 0.243
Au 0.000 0.500 0.757
Au 0.204 0.204 0.500
Au 0.210 0.210 0.000
Au 0.500 0.000 0.243
Au 0.500 0.000 0.757
Au 0.500 0.500 0.218
Au 0.500 0.500 0.782
Au 0.790 0.790 0.000
Au 0.796 0.796 0.500
CELL_PARAMETERS angstrom
4.075 -4.181 0.000
4.075 4.181 0.000
0.000 0.000 8.352
```

***

# 8
ZnIn2Au | PBE | relaxed Values from VASP.

## Properties
M_tot in μB/f.u.: 0.0
Electronic total energy in eV/atom: -2.50
Crystal system: tetragonal
Energy of formation from the pure elements in eV per formula unit: 0.04

```
&SYSTEM
  ibrav = 0, nat = 4, ntyp = 3
/
ATOMIC_SPECIES
Zn 65.41 Zn.upf
In 114.82 In.upf
Au 196.97 Au.upf
ATOMIC_POSITIONS crystal
Zn 0.000 0.000 0.000
In 0.250 0.750 0.500
In 0.750 0.250 0.500
Au 0.500 0.500 0.000
CELL_PARAMETERS angstrom
-2.226 2.226 4.264
2.226 -2.226 4.264
2.226 2.226 -4.264
```

***

# 9
ZnIn2Au2 | PBE | relaxed Values from VASP.

## Properties
M_tot in μB/f.u.: 0.0
Electronic total energy in eV/atom: -2.83
Crystal system: orthorhombic
E above lowest polymorph in meV/atom: 0
Energy of formation from the pure elements in eV per formula unit: -0.85

```
&SYSTEM
  ibrav = 0, nat = 10, ntyp = 3
/
ATOMIC_SPECIES
Zn 65.41 Zn.upf
In 114.82 In.upf
Au 196.97 Au.upf
ATOMIC_POSITIONS crystal
Zn 0.250 0.250 0.170
Zn 0.750 0.750 0.830
In 0.250 0.250 0.496
In 0.250 0.250 0.821
In 0.750 0.750 0.179
In 0.750 0.750 0.504
Au 0.250 0.750 0.009
Au 0.250 0.750 0.672
Au 0.750 0.250 0.328
Au 0.750 0.250 0.991
CELL_PARAMETERS angstrom
4.525 0.000 0.000
0.000 4.771 0.000
0.000 0.000 9.877
```

***

# 10
ZnInAu4 | PBE | relaxed Values from VASP.

## Properties
M_tot in μB/f.u.: 0.0
Electronic total energy in eV/atom: -2.98
Crystal system: monoclinic
E above lowest polymorph in meV/atom: 3
Energy of formation from the pure elements in eV per formula unit: -0.76

```
&SYSTEM
  ibrav = 0, nat = 12, ntyp = 3
/
ATOMIC_SPECIES
Zn 65.41 Zn.upf
In 114.82 In.upf
Au 196.97 Au.upf
ATOMIC_POSITIONS crystal
Zn 0.227 0.250 0.017
Zn 0.773 0.750 0.983
In 0.349 0.250 0.637
In 0.651 0.750 0.363
Au 0.104 0.502 0.290
Au 0.104 0.998 0.290
Au 0.296 0.750 0.006
Au 0.364 0.750 0.645
Au 0.636 0.250 0.355
Au 0.704 0.250 0.994
Au 0.896 0.002 0.710
Au 0.896 0.498 0.710
CELL_PARAMETERS angstrom
5.371 0.000 0.000
0.000 5.734 0.000
-2.323 0.000 7.250
```

***

# 11
Zn6InAu12 | PBE | relaxed Values from VASP.

## Properties
M_tot in μB/f.u.: 0.0
Electronic total energy in eV/atom: -2.77
Crystal system: trigonal
E above lowest polymorph in meV/atom: 0
Energy of formation from the pure elements in eV per formula unit: -2.92

```
&SYSTEM
  ibrav = 0, nat = 19, ntyp = 3
/
ATOMIC_SPECIES
Zn 65.41 Zn.upf
In 114.82 In.upf
Au 196.97 Au.upf
ATOMIC_POSITIONS crystal
Zn 0.050 0.354 0.578
Zn 0.354 0.578 0.050
Zn 0.422 0.950 0.646
Zn 0.578 0.050 0.354
Zn 0.646 0.422 0.950
Zn 0.950 0.646 0.422
In 0.000 0.000 0.000
Au 0.120 0.734 0.168
Au 0.168 0.120 0.734
Au 0.200 0.477 0.345
Au 0.266 0.832 0.880
Au 0.345 0.200 0.477
Au 0.477 0.345 0.200
Au 0.523 0.655 0.800
Au 0.655 0.800 0.523
Au 0.734 0.168 0.120
Au 0.800 0.523 0.655
Au 0.832 0.880 0.266
Au 0.880 0.266 0.832
CELL_PARAMETERS angstrom
6.357 3.670 2.346
-6.357 3.670 2.346
0.000 -7.341 2.346
```

***

# 12
ZnIn2Au | PBE | relaxed Values from VASP.

## Properties
M_tot in μB/f.u.: 0.0
Electronic total energy in eV/atom: -2.61
Crystal system: monoclinic
Energy of formation from the pure elements in eV per formula unit: -0.42

```
&SYSTEM
  ibrav = 0, nat = 4, ntyp = 3
/
ATOMIC_SPECIES
Zn 65.41 Zn.upf
In 114.82 In.upf
Au 196.97 Au.upf
ATOMIC_POSITIONS crystal
Zn 0.000 0.000 0.000
In 0.438 0.500 0.867
In 0.729 0.000 0.462
Au 0.158 0.500 0.313
CELL_PARAMETERS angstrom
3.910 0.000 0.000
0.000 4.287 0.000
-1.838 0.000 5.148
```

***

# 13
ZnInAu6 | PBE | relaxed Values from VASP.

## Properties
M_tot in μB/f.u.: 0.0
Electronic total energy in eV/atom: -3.06
Crystal system: tetragonal
E above lowest polymorph in meV/atom: 0
Energy of formation from the pure elements in eV per formula unit: -0.78

```
&SYSTEM
  ibrav = 0, nat = 8, ntyp = 3
/
ATOMIC_SPECIES
Zn 65.41 Zn.upf
In 114.82 In.upf
Au 196.97 Au.upf
ATOMIC_POSITIONS crystal
Zn 0.000 0.000 0.000
In 0.000 0.000 0.500
Au 0.000 0.500 0.240
Au 0.000 0.500 0.760
Au 0.500 0.000 0.240
Au 0.500 0.000 0.760
Au 0.500 0.500 0.000
Au 0.500 0.500 0.500
CELL_PARAMETERS angstrom
4.249 0.000 0.000
0.000 4.249 0.000
0.000 0.000 8.027
```

***

# 14
Zn2In2Au | PBE | relaxed Values from VASP.

## Properties
M_tot in μB/f.u.: 0.0
Electronic total energy in eV/atom: -2.28
Crystal system: tetragonal
E above lowest polymorph in meV/atom: 0
Energy of formation from the pure elements in eV per formula unit: -0.09

```
&SYSTEM
  ibrav = 0, nat = 10, ntyp = 3
/
ATOMIC_SPECIES
Zn 65.41 Zn.upf
In 114.82 In.upf
Au 196.97 Au.upf
ATOMIC_POSITIONS crystal
Zn 0.134 0.366 0.000
Zn 0.366 0.866 0.000
Zn 0.634 0.134 0.000
Zn 0.866 0.634 0.000
In 0.173 0.673 0.500
In 0.327 0.173 0.500
In 0.673 0.827 0.500
In 0.827 0.327 0.500
Au 0.000 0.000 0.000
Au 0.500 0.500 0.000
CELL_PARAMETERS angstrom
6.899 0.000 0.000
0.000 6.899 0.000
0.000 0.000 4.309
```

***

# 15
Zn4InAu5 | PBE | relaxed Values from VASP.

## Properties
M_tot in μB/f.u.: 0.0
Electronic total energy in eV/atom: -2.60
Crystal system: tetragonal
Energy of formation from the pure elements in eV per formula unit: -1.83

```
&SYSTEM
  ibrav = 0, nat = 10, ntyp = 3
/
ATOMIC_SPECIES
Zn 65.41 Zn.upf
In 114.82 In.upf
Au 196.97 Au.upf
ATOMIC_POSITIONS crystal
Zn 0.000 0.000 0.095
Zn 0.000 0.000 0.284
Zn 0.000 0.000 0.716
Zn 0.000 0.000 0.905
In 0.000 0.000 0.500
Au 0.500 0.500 0.000
Au 0.500 0.500 0.190
Au 0.500 0.500 0.378
Au 0.500 0.500 0.622
Au 0.500 0.500 0.810
CELL_PARAMETERS angstrom
3.231 0.000 0.000
0.000 3.231 0.000
0.000 0.000 16.425
```

***

# 16
ZnInAu | PBE | relaxed Values from VASP.

## Properties
M_tot in μB/f.u.: 0.0
Electronic total energy in eV/atom: -2.47
Crystal system: tetragonal
Energy of formation from the pure elements in eV per formula unit: -0.13

```
&SYSTEM
  ibrav = 0, nat = 3, ntyp = 3
/
ATOMIC_SPECIES
Zn 65.41 Zn.upf
In 114.82 In.upf
Au 196.97 Au.upf
ATOMIC_POSITIONS crystal
Zn 0.000 0.000 0.000
In 0.311 0.311 0.000
Au 0.627 0.627 0.000
CELL_PARAMETERS angstrom
-1.654 1.654 5.471
1.654 -1.654 5.471
1.654 1.654 -5.471
```

***

# 17
ZnIn2Au | PBE | relaxed Values from VASP.

## Properties
M_tot in μB/f.u.: 0.0
Electronic total energy in eV/atom: -2.51
Crystal system: monoclinic
Energy of formation from the pure elements in eV per formula unit: 0.00

```
&SYSTEM
  ibrav = 0, nat = 4, ntyp = 3
/
ATOMIC_SPECIES
Zn 65.41 Zn.upf
In 114.82 In.upf
Au 196.97 Au.upf
ATOMIC_POSITIONS crystal
Zn 0.000 0.000 0.000
In 0.000 0.500 0.500
In 0.500 0.000 0.500
Au 0.500 0.500 0.000
CELL_PARAMETERS angstrom
2.820 -3.989 0.000
2.820 3.989 0.000
-0.034 0.000 3.783
```

***

# 18
ZnIn2Au2 | PBE | relaxed Values from VASP.

## Properties
M_tot in μB/f.u.: 0.0
Electronic total energy in eV/atom: -2.76
Crystal system: tetragonal
E above lowest polymorph in meV/atom: 68
Energy of formation from the pure elements in eV per formula unit: -0.51

```
&SYSTEM
  ibrav = 0, nat = 10, ntyp = 3
/
ATOMIC_SPECIES
Zn 65.41 Zn.upf
In 114.82 In.upf
Au 196.97 Au.upf
ATOMIC_POSITIONS crystal
Zn 0.000 0.000 0.000
Zn 0.500 0.500 0.000
In 0.160 0.340 0.500
In 0.340 0.840 0.500
In 0.660 0.160 0.500
In 0.840 0.660 0.500
Au 0.150 0.650 0.000
Au 0.350 0.150 0.000
Au 0.650 0.850 0.000
Au 0.850 0.350 0.000
CELL_PARAMETERS angstrom
7.104 0.000 0.000
0.000 7.104 0.000
0.000 0.000 4.235
```

***

# 19
ZnInAu3 | PBE | relaxed Values from VASP.

## Properties
M_tot in μB/f.u.: 0.0
Electronic total energy in eV/atom: -2.83
Crystal system: hexagonal
E above lowest polymorph in meV/atom: 0
Energy of formation from the pure elements in eV per formula unit: -0.32

```
&SYSTEM
  ibrav = 0, nat = 10, ntyp = 3
/
ATOMIC_SPECIES
Zn 65.41 Zn.upf
In 114.82 In.upf
Au 196.97 Au.upf
ATOMIC_POSITIONS crystal
Zn 0.000 0.000 0.000
Zn 0.000 0.000 0.500
In 0.333 0.667 0.250
In 0.667 0.333 0.750
Au 0.195 0.390 0.750
Au 0.195 0.805 0.750
Au 0.390 0.195 0.250
Au 0.610 0.805 0.750
Au 0.805 0.195 0.250
Au 0.805 0.610 0.250
CELL_PARAMETERS angstrom
6.853 0.000 0.000
-3.426 5.935 0.000
0.000 0.000 4.947
```